Below is a geometry-optimized Fe2TeO structure, with properties calculated at the PBE+U level.

a b c (Å): 5.3935 5.3935 11.0376
angles (deg): 90.00 90.00 90.00
Fractional positions:
Fe: 0.1284 0.2500 0.1250
Fe: 0.2500 0.6284 0.3750
Fe: 0.2500 0.8716 0.8750
Fe: 0.3716 0.2500 0.6250
Fe: 0.6284 0.7500 0.6250
Fe: 0.7500 0.1284 0.8750
Fe: 0.7500 0.3716 0.3750
Fe: 0.8716 0.7500 0.1250
Te: 0.0000 0.0000 0.5000
Te: 0.0000 0.5000 0.7500
Te: 0.5000 0.0000 0.2500
Te: 0.5000 0.5000 0.0000
O: 0.0000 0.0000 0.0000
O: 0.0000 0.5000 0.2500
O: 0.5000 0.0000 0.7500
O: 0.5000 0.5000 0.5000

Electronic total energy: -5.49 eV per atom